(1)
# ErGePO, optimized geometry, DFT PBE
data_ErGePO
_cell_length_a 3.714
_cell_length_b 6.218
_cell_length_c 6.652
_cell_angle_alpha 90.00
_cell_angle_beta 90.00
_cell_angle_gamma 90.00
_space_group_name_H-M_alt 'P m c 21'
_space_group_IT_number 26
_space_group_name_Hall 'P 2c -2'
loop_
_atom_site_label
_atom_site_fract_x
_atom_site_fract_y
_atom_site_fract_z
Er1 0.000 0.232 0.000
Ge1 0.500 0.378 0.590
P1 0.000 0.215 0.422
O1 0.500 0.222 0.838
# Energy above the most stable polymorph in this dataset ... 0.063 eV per atom


(2)
# ErGePO, optimized geometry, DFT PBE
data_ErGePO
_cell_length_a 5.458
_cell_length_b 5.458
_cell_length_c 4.748
_cell_angle_alpha 90.00
_cell_angle_beta 90.00
_cell_angle_gamma 90.00
_space_group_name_H-M_alt 'P 4/n m m'
_space_group_IT_number 129
loop_
_space_group_symop_operation_xyz
'x,y,z'
'-x,-y,-z'
'-y+1/2,x,z'
'y+1/2,-x,-z'
'-x+1/2,-y+1/2,z'
'x+1/2,y+1/2,-z'
'y,-x+1/2,z'
'-y,x+1/2,-z'
'x+1/2,-y,-z'
'-x+1/2,y,z'
'-y,-x,-z'
'y,x,z'
'-x,y+1/2,-z'
'x,-y+1/2,z'
'y+1/2,x+1/2,-z'
'-y+1/2,-x+1/2,z'
loop_
_atom_site_label
_atom_site_fract_x
_atom_site_fract_y
_atom_site_fract_z
Er1 0.250 0.750 0.000
Ge1 0.250 0.250 0.498
P1 0.250 0.250 0.998
O1 0.250 0.750 0.500
# Energy above the most stable polymorph in this dataset ... 0.330 eV per atom


(3)
Density functional theory data (PBE) for an optimized crystal structure of Er2TmGe4O12.

CIF file:
```
data_Er2TmGe4O12
_cell_length_a 4.987
_cell_length_b 7.148
_cell_length_c 8.041
_cell_angle_alpha 67.62
_cell_angle_beta 88.63
_cell_angle_gamma 80.10
_space_group_name_H-M_alt 'P -1'
_space_group_IT_number 2
_space_group_name_Hall '-P 1'
loop_
_atom_site_label
_atom_site_fract_x
_atom_site_fract_y
_atom_site_fract_z
Er1 0.051 0.263 0.464
Tm1 0.000 0.500 0.000
Ge1 0.410 0.879 0.793
Ge2 0.450 0.659 0.229
O1 0.207 0.925 0.602
O2 0.213 0.567 0.392
O3 0.252 0.753 0.011
O4 0.259 0.515 0.778
O5 0.266 0.264 0.212
O6 0.403 0.156 0.719
```


(4)
Density functional theory data (PBE) for an optimized crystal structure of Er3Ge4Os2.

CIF file:
```
data_Er3Ge4Os2
_cell_length_a 10.627
_cell_length_b 4.355
_cell_length_c 8.098
_cell_angle_alpha 90.00
_cell_angle_beta 109.96
_cell_angle_gamma 90.00
_space_group_name_H-M_alt 'C 1 2/m 1'
_space_group_IT_number 12
_space_group_name_Hall '-C 2y'
loop_
_atom_site_label
_atom_site_fract_x
_atom_site_fract_y
_atom_site_fract_z
Er1 0.000 0.000 0.000
Er2 0.123 0.500 0.698
Ge1 0.090 0.000 0.404
Ge2 0.213 0.500 0.078
Os1 0.179 0.500 0.360
```


(5)
Density functional theory data (PBE) for an optimized crystal structure of ErGeOs.

CIF file:
```
data_ErGeOs
_cell_length_a 6.319
_cell_length_b 6.319
_cell_length_c 6.319
_cell_angle_alpha 90.00
_cell_angle_beta 90.00
_cell_angle_gamma 90.00
_space_group_name_H-M_alt 'F -4 3 m'
_space_group_IT_number 216
_space_group_name_Hall 'F -4 2 3'
loop_
_atom_site_label
_atom_site_fract_x
_atom_site_fract_y
_atom_site_fract_z
Er1 0.000 0.000 0.000
Ge1 0.000 0.000 0.500
Os1 0.250 0.250 0.250
```


(6)
# ErTmSiGeOs, optimized geometry, DFT PBE
data_ErTmSiGeOs
_cell_length_a 10.577
_cell_length_b 4.209
_cell_length_c 10.025
_cell_angle_alpha 90.00
_cell_angle_beta 118.27
_cell_angle_gamma 90.00
_space_group_name_H-M_alt 'C 1 2/m 1'
_space_group_IT_number 12
_space_group_name_Hall '-C 2y'
loop_
_atom_site_label
_atom_site_fract_x
_atom_site_fract_y
_atom_site_fract_z
Er1 0.007 0.000 0.174
Tm1 0.185 0.000 0.617
Si1 0.142 0.500 0.060
Ge1 0.015 0.500 0.376
Os1 0.233 0.500 0.875
# Energy above the most stable polymorph in this dataset ... 0.007 eV per atom


(7)
# ErTmSiGeOs, optimized geometry, DFT PBE
data_ErTmSiGeOs
_cell_length_a 10.548
_cell_length_b 4.208
_cell_length_c 10.022
_cell_angle_alpha 90.00
_cell_angle_beta 118.11
_cell_angle_gamma 90.00
_space_group_name_H-M_alt 'C 1 2/m 1'
_space_group_IT_number 12
_space_group_name_Hall '-C 2y'
loop_
_atom_site_label
_atom_site_fract_x
_atom_site_fract_y
_atom_site_fract_z
Er1 0.186 0.000 0.117
Tm1 0.005 0.000 0.673
Si1 0.142 0.500 0.559
Ge1 0.015 0.500 0.875
Os1 0.234 0.500 0.375
# Energy above the most stable polymorph in this dataset ... 0.000 eV per atom


(8)
# ErTmSiGeOs, optimized geometry, DFT PBE
data_ErTmSiGeOs
_cell_length_a 10.658
_cell_length_b 4.272
_cell_length_c 9.898
_cell_angle_alpha 90.00
_cell_angle_beta 118.35
_cell_angle_gamma 90.00
_space_group_name_H-M_alt 'C 1 2/m 1'
_space_group_IT_number 12
_space_group_name_Hall '-C 2y'
loop_
_atom_site_label
_atom_site_fract_x
_atom_site_fract_y
_atom_site_fract_z
Er1 0.006 0.000 0.180
Tm1 0.183 0.000 0.609
Si1 0.005 0.500 0.377
Ge1 0.142 0.500 0.063
Os1 0.226 0.500 0.864
# Energy above the most stable polymorph in this dataset ... 0.117 eV per atom


(9)
# ErTmSiGeOs, optimized geometry, DFT PBE
data_ErTmSiGeOs
_cell_length_a 10.627
_cell_length_b 4.273
_cell_length_c 9.901
_cell_angle_alpha 90.00
_cell_angle_beta 118.23
_cell_angle_gamma 90.00
_space_group_name_H-M_alt 'C 1 2/m 1'
_space_group_IT_number 12
_space_group_name_Hall '-C 2y'
loop_
_atom_site_label
_atom_site_fract_x
_atom_site_fract_y
_atom_site_fract_z
Er1 0.184 0.000 0.109
Tm1 0.004 0.000 0.679
Si1 0.005 0.500 0.876
Ge1 0.141 0.500 0.563
Os1 0.227 0.500 0.365
# Energy above the most stable polymorph in this dataset ... 0.114 eV per atom


(10)
Density functional theory data (PBE) for an optimized crystal structure of SmErGe2Os.

CIF file:
```
data_SmErGe2Os
_cell_length_a 10.800
_cell_length_b 4.314
_cell_length_c 10.253
_cell_angle_alpha 90.00
_cell_angle_beta 118.22
_cell_angle_gamma 90.00
_space_group_name_H-M_alt 'C 1 2/m 1'
_space_group_IT_number 12
_space_group_name_Hall '-C 2y'
loop_
_atom_site_label
_atom_site_fract_x
_atom_site_fract_y
_atom_site_fract_z
Sm1 0.187 0.000 0.113
Er1 0.001 0.000 0.329
Ge1 0.010 0.500 0.871
Ge2 0.143 0.500 0.563
Os1 0.229 0.500 0.373
```


(11)
# ErTmGe2Os, optimized geometry, DFT PBE
data_ErTmGe2Os
_cell_length_a 10.681
_cell_length_b 4.285
_cell_length_c 10.023
_cell_angle_alpha 90.00
_cell_angle_beta 117.92
_cell_angle_gamma 90.00
_space_group_name_H-M_alt 'C 1 2/m 1'
_space_group_IT_number 12
_space_group_name_Hall '-C 2y'
loop_
_atom_site_label
_atom_site_fract_x
_atom_site_fract_y
_atom_site_fract_z
Er1 0.004 0.000 0.175
Tm1 0.183 0.000 0.615
Ge1 0.015 0.500 0.376
Ge2 0.141 0.500 0.062
Os1 0.230 0.500 0.867
# Energy above the most stable polymorph in this dataset ... 0.005 eV per atom


(12)
# ErTmGe2Os, optimized geometry, DFT PBE
data_ErTmGe2Os
_cell_length_a 10.663
_cell_length_b 4.283
_cell_length_c 10.013
_cell_angle_alpha 90.00
_cell_angle_beta 117.85
_cell_angle_gamma 90.00
_space_group_name_H-M_alt 'C 1 2/m 1'
_space_group_IT_number 12
_space_group_name_Hall '-C 2y'
loop_
_atom_site_label
_atom_site_fract_x
_atom_site_fract_y
_atom_site_fract_z
Er1 0.183 0.000 0.115
Tm1 0.004 0.000 0.675
Ge1 0.015 0.500 0.876
Ge2 0.141 0.500 0.561
Os1 0.230 0.500 0.367
# Energy above the most stable polymorph in this dataset ... 0.000 eV per atom


(13)
Density functional theory data (PBE) for an optimized crystal structure of YErGe4Os2.

CIF file:
```
data_YErGe4Os2
_cell_length_a 4.437
_cell_length_b 4.448
_cell_length_c 8.281
_cell_angle_alpha 90.00
_cell_angle_beta 104.75
_cell_angle_gamma 90.00
_space_group_name_H-M_alt 'P 1 m 1'
_space_group_IT_number 6
_space_group_name_Hall 'P -2y'
loop_
_atom_site_label
_atom_site_fract_x
_atom_site_fract_y
_atom_site_fract_z
Y1 0.000 0.000 0.000
Er1 0.241 0.500 0.417
Ge1 0.292 0.000 0.717
Ge2 0.579 0.500 0.122
Ge3 0.658 0.000 0.293
Ge4 0.937 0.500 0.696
Os1 0.510 0.500 0.824
Os2 0.719 0.000 0.590
```


(14)
Density functional theory data (PBE) for an optimized crystal structure of YErGe2Os.

CIF file:
```
data_YErGe2Os
_cell_length_a 10.714
_cell_length_b 4.297
_cell_length_c 10.117
_cell_angle_alpha 90.00
_cell_angle_beta 117.99
_cell_angle_gamma 90.00
_space_group_name_H-M_alt 'C 1 2/m 1'
_space_group_IT_number 12
_space_group_name_Hall '-C 2y'
loop_
_atom_site_label
_atom_site_fract_x
_atom_site_fract_y
_atom_site_fract_z
Y1 0.184 0.000 0.113
Er1 0.002 0.000 0.673
Ge1 0.013 0.500 0.874
Ge2 0.142 0.500 0.563
Os1 0.230 0.500 0.370
```


(15)
# ErPaGe, optimized geometry, DFT PBE
data_ErPaGe
_cell_length_a 6.677
_cell_length_b 6.677
_cell_length_c 6.677
_cell_angle_alpha 90.00
_cell_angle_beta 90.00
_cell_angle_gamma 90.00
_space_group_name_H-M_alt 'F -4 3 m'
_space_group_IT_number 216
_space_group_name_Hall 'F -4 2 3'
loop_
_atom_site_label
_atom_site_fract_x
_atom_site_fract_y
_atom_site_fract_z
Er1 0.000 0.000 0.000
Pa1 0.250 0.250 0.250
Ge1 0.250 0.250 0.750
# Energy above the most stable polymorph in this dataset ... 0.000 eV per atom


(16)
Density functional theory data (PBE) for an optimized crystal structure of ErGePbSe3.

CIF file:
```
data_ErGePbSe3
_cell_length_a 3.963
_cell_length_b 14.413
_cell_length_c 11.473
_cell_angle_alpha 90.00
_cell_angle_beta 90.00
_cell_angle_gamma 90.00
_space_group_name_H-M_alt 'C m c m'
_space_group_IT_number 63
_space_group_name_Hall '-C 2c 2'
loop_
_atom_site_label
_atom_site_fract_x
_atom_site_fract_y
_atom_site_fract_z
Er1 0.000 0.000 0.000
Ge1 0.000 0.373 0.250
Pb1 0.000 0.314 0.750
Se1 0.000 0.009 0.250
Se2 0.000 0.362 0.010
```


(17)
Density functional theory data (PBE) for an optimized crystal structure of ErGeTe3Pb.

CIF file:
```
data_ErGeTe3Pb
_cell_length_a 4.362
_cell_length_b 14.981
_cell_length_c 11.193
_cell_angle_alpha 90.00
_cell_angle_beta 90.00
_cell_angle_gamma 90.00
_space_group_name_H-M_alt 'C m c m'
_space_group_IT_number 63
_space_group_name_Hall '-C 2c 2'
loop_
_atom_site_label
_atom_site_fract_x
_atom_site_fract_y
_atom_site_fract_z
Er1 0.000 0.000 0.000
Ge1 0.000 0.465 0.250
Te1 0.000 0.099 0.250
Te2 0.000 0.355 0.036
Pb1 0.000 0.231 0.750
```


(18)
Density functional theory data (PBE) for an optimized crystal structure of ErGePd2.

CIF file:
```
data_ErGePd2
_cell_length_a 4.422
_cell_length_b 5.798
_cell_length_c 5.771
_cell_angle_alpha 90.00
_cell_angle_beta 90.00
_cell_angle_gamma 90.00
_space_group_name_H-M_alt 'P m n 21'
_space_group_IT_number 31
_space_group_name_Hall 'P 2ac -2'
loop_
_atom_site_label
_atom_site_fract_x
_atom_site_fract_y
_atom_site_fract_z
Er1 0.000 0.093 0.000
Ge1 0.000 0.610 0.238
Pd1 0.000 0.239 0.513
Pd2 0.000 0.674 0.716
```


(19)
Density functional theory data (PBE) for an optimized crystal structure of ErGePd2.

CIF file:
```
data_ErGePd2
_cell_length_a 7.311
_cell_length_b 7.162
_cell_length_c 5.593
_cell_angle_alpha 90.00
_cell_angle_beta 90.00
_cell_angle_gamma 90.00
_space_group_name_H-M_alt 'P n m a'
_space_group_IT_number 62
_space_group_name_Hall '-P 2ac 2n'
loop_
_atom_site_label
_atom_site_fract_x
_atom_site_fract_y
_atom_site_fract_z
Er1 0.024 0.250 0.143
Ge1 0.120 0.750 0.359
Pd1 0.184 0.051 0.587
```


(20)
Density functional theory data (PBE) for an optimized crystal structure of ErGe4Pd6.

CIF file:
```
data_ErGe4Pd6
_cell_length_a 7.4136
_cell_length_b 7.4136
_cell_length_c 3.8581
_cell_angle_alpha 90.00
_cell_angle_beta 90.00
_cell_angle_gamma 120.00
_space_group_name_H-M_alt 'P -6 m 2'
_space_group_IT_number 187
_space_group_name_Hall 'P -6 2'
loop_
_atom_site_label
_atom_site_fract_x
_atom_site_fract_y
_atom_site_fract_z
Er1 0.0000 0.0000 0.0000
Ge1 0.3333 0.6667 0.0000
Ge2 0.3777 0.1889 0.5000
Pd1 0.1972 0.3943 0.5000
Pd2 0.5353 0.0706 0.0000
```


no.,size of the total moment (μB per cell),calculated density (kg/m3),E_tot (Ha/atom)
1,0.0,6203,-0.2304
2,0.0,6736,-0.2205
3,0.0,6278,-0.2643
4,0.0,11057,-0.2459
5,0.0,11324,-0.2533
6,0.1,10596,-0.2525
7,0.0,10614,-0.2528
8,0.0,10503,-0.2484
9,0.0,10516,-0.2486
10,0.0,10305,-0.2438
11,0.1,11008,-0.2424
12,0.1,11036,-0.2426
13,0.0,9743,-0.2551
14,0.0,9556,-0.2576
15,0.1,10507,-0.2062
16,0.0,6933,-0.1728
17,0.0,7536,-0.1551
18,0.0,10164,-0.2082
19,0.0,10267,-0.2133
20,0.0,9914,-0.2054